No. 1
Rb2MnGeI6 after structural relaxation. Source: Alexandria via LeMat-Bulk, functional GGA-PBE.

For the density of states at the Fermi level, the calculation gives 0.000 states/eV per atom. The raw formation energy comes out at -8.229 eV/f.u. As for the polymorph energy (0 for the lowest one): 0 meV/atom. For the final energy, the calculation gives -3.325 eV/atom. For the total magnetic moment, the calculation gives 4.999 μB per cell.

Lattice parameters (Å, degrees): 8.027 8.626 8.628 60.14 77.39 63.20
Space group P1 (No. 1)
Symmetry-distinct sites (fractional):
Rb1 0.000 0.000 0.000
Rb2 0.360 0.179 0.357
Mn1 0.575 0.764 0.009
Ge1 0.134 0.614 0.645
I1 0.411 0.747 0.783
I2 0.436 0.590 0.335
I3 0.493 0.132 0.933
I4 0.909 0.003 0.448
I5 0.951 0.562 0.004
I6 0.955 0.455 0.567

No. 2
SnTeI2 after structural relaxation. Source: Alexandria via LeMat-Bulk, functional GGA-PBE.

For the density of states at the Fermi level, the calculation gives 1.052 states/eV per atom. The raw formation energy comes out at 0.580 eV/f.u. As for the polymorph energy (0 for the lowest one): 291 meV/atom. For the final energy, the calculation gives -2.416 eV/atom. For the total magnetic moment, the calculation gives 0.000 μB per cell.

Lattice parameters (Å, degrees): 8.975 8.975 7.367 90.00 90.00 90.00
Space group I-42d (No. 122)
Symmetry-distinct sites (fractional):
Sn1 0.000 0.000 0.000
Te1 0.000 0.000 0.500
I1 0.224 0.250 0.125

No. 3
SmFe3I12 after structural relaxation. Source: Alexandria via LeMat-Bulk, functional GGA-PBE.

The raw formation energy comes out at -6.474 eV/f.u. For the final energy, the calculation gives -3.449 eV/atom. For the total magnetic moment, the calculation gives 30.004 μB per cell.

Lattice parameters (Å, degrees): 15.1941 15.1941 8.1569 90.00 90.00 120.00
Space group P6_3/m (No. 176)
Symmetry-distinct sites (fractional):
Sm1 0.3333 0.6667 0.2500
Fe1 0.1233 0.4267 0.7500
I1 0.0107 0.5028 0.7500
I2 0.0287 0.2373 0.7500
I3 0.2378 0.7582 0.0107

No. 4
La5SmTl4 after structural relaxation. Source: Alexandria via LeMat-Bulk, functional GGA-PBE.

For the density of states at the Fermi level, the calculation gives 1.108 states/eV per atom. The value obtained for the formation energy is -322 meV per atom. For the final energy, the calculation gives -4.204 eV/atom. For the total magnetic moment, the calculation gives 0.000 μB per cell.

Lattice parameters (Å, degrees): 3.708 3.708 23.360 90.00 90.00 90.00
Space group P4/mmm (No. 123)
Symmetry-distinct sites (fractional):
La1 0.000 0.000 0.000
La2 0.000 0.000 0.194
La3 0.000 0.000 0.387
Sm1 0.500 0.500 0.500
Tl1 0.500 0.500 0.097
Tl2 0.500 0.500 0.291

No. 5
Tb2Si7Pd12 after structural relaxation. Source: Alexandria via LeMat-Bulk, functional GGA-PBE.

For the density of states at the Fermi level, the calculation gives 0.394 states/eV per atom. The raw formation energy comes out at -17.082 eV/f.u. For the final energy, the calculation gives -6.029 eV/atom. For the total magnetic moment, the calculation gives 0.000 μB per cell.

Lattice parameters (Å, degrees): 10.0190 10.0190 3.8454 90.00 90.00 120.00
Space group P-3 (No. 147)
Symmetry-distinct sites (fractional):
Tb1 0.3333 0.6667 0.2538
Si1 0.0000 0.0000 0.0000
Si2 0.1172 0.4071 0.7499
Pd1 0.0631 0.6201 0.7489
Pd2 0.1116 0.8535 0.2500

No. 6
InSbP2 after structural relaxation. Source: Alexandria via LeMat-Bulk, functional GGA-PBE.

For the density of states at the Fermi level, the calculation gives 0.369 states/eV per atom. The raw formation energy comes out at 0.290 eV/f.u. As for the polymorph energy (0 for the lowest one): 29 meV/atom. For the final energy, the calculation gives -4.348 eV/atom. For the total magnetic moment, the calculation gives 0.000 μB per cell.

Lattice parameters (Å, degrees): 6.842 3.961 6.823 90.00 109.78 90.00
Space group C2/m (No. 12)
Symmetry-distinct sites (fractional):
In1 0.000 0.000 0.000
Sb1 0.000 0.500 0.500
P1 0.250 0.000 0.750

No. 7
ReTc2Ir after structural relaxation. Source: Alexandria via LeMat-Bulk, functional GGA-PBE.

For the density of states at the Fermi level, the calculation gives 0.999 states/eV per atom. As for the polymorph energy (0 for the lowest one): 119 meV/atom. The value obtained for the formation energy is -60 meV per atom. For the final energy, the calculation gives -10.570 eV/atom. For the total magnetic moment, the calculation gives 0.000 μB per cell.

Lattice parameters (Å, degrees): 9.139 2.731 4.760 90.00 99.84 90.00
Space group Cm (No. 8)
Symmetry-distinct sites (fractional):
Re1 0.000 0.000 0.000
Tc1 0.249 0.000 0.746
Tc2 0.499 0.000 0.504
Ir1 0.248 0.500 0.246

No. 8
MgGa5Ag8 after structural relaxation. Source: Alexandria via LeMat-Bulk, functional GGA-PBE.

For the density of states at the Fermi level, the calculation gives 0.601 states/eV per atom. The value obtained for the formation energy is 51 meV per atom. For the final energy, the calculation gives -2.773 eV/atom. For the total magnetic moment, the calculation gives 0.000 μB per cell.

Lattice parameters (Å, degrees): 8.174 8.174 7.856 90.00 90.00 90.00
Space group I-4 (No. 82)
Symmetry-distinct sites (fractional):
Mg1 0.000 0.000 0.000
Ga1 0.000 0.500 0.750
Ga2 0.137 0.275 0.343
Ag1 0.070 0.161 0.670
Ag2 0.096 0.342 0.016

Question: Which of these has the highest final energy?
Answer: SnTeI2

Question: final energy of number 3 (SmFe3I12)?
Answer: -3.449 eV/atom